Record 1
Density functional theory data (PBE) for crystalline Zr2TiIr9 at its relaxed geometry.

It has space group P4/mmm (No. 123), with a = 3.950 Å, b = 3.950 Å, c = 11.837 Å, α = 90.00°, β = 90.00° and γ = 90.00°. The inequivalent atoms are Zr at (0.000, 0.000, 0.170), Ti at (0.000, 0.000, 0.500), Ir at (0.000, 0.500, 0.000), Ir at (0.000, 0.500, 0.341), Ir at (0.500, 0.500, 0.169) and Ir at (0.500, 0.500, 0.500).

The density of states at the Fermi level comes out at 1.05 states/eV per atom. Its formation energy is -0.705 eV per atom.

***

Record 2
Density functional theory data (PBE) for crystalline Ta2SbRu at its relaxed geometry.

It has space group Pm (No. 6), with a = 3.192 Å, b = 3.883 Å, c = 6.128 Å, α = 90.00°, β = 104.97° and γ = 90.00°. The inequivalent atoms are Ta at (0.000, 0.000, 0.000), Ta at (0.364, 0.500, 0.722), Sb at (0.753, 0.000, 0.499) and Ru at (0.597, 0.500, 0.192).

The calculation puts the total energy at -37.2 eV for the cell shown. The density of states at the Fermi level comes out at 0.48 states/eV per atom.

***

Total magnetic moment across the listed records, respectively: 0.00; 0.00 Bohr magnetons per cell.